This record from Alexandria via LeMat-Bulk describes a relaxed structure of Cd2SbH. The functional is PBE.

a b c (Å): 4.4834 7.7632 6.1034
angles (deg): 96.14 90.01 90.00
Element x y z (fractional)
Sb 0.9240 0.2037 0.7279
H 0.2830 0.9540 0.2276
H 0.2822 0.4538 0.2279
Cd 0.4441 0.0032 0.5081
Cd 0.4445 0.4044 0.9479
Cd 0.1195 0.5030 0.5078
Sb 0.6402 0.7037 0.7278
Cd 0.1196 0.9042 0.9480

Values from the calculation:
Energy relative to the lowest polymorph listed for this composition in meV/atom: 15
DOS at the Fermi energy in states/eV/f.u.: 0.51
VASP energy in Ha/atom: -0.081

This record from Alexandria via LeMat-Bulk describes a relaxed structure of CdSbH. The functional is PBE.

a b c (Å): 4.6839 7.4453 6.0488
angles (deg): 69.72 52.39 52.44
Element x y z (fractional)
Sb 0.0705 0.0881 0.1666
H 0.5885 0.0901 0.3758
Cd 0.4663 0.5910 0.2786
Sb 0.4091 0.5811 0.8070
Cd 0.0133 0.0782 0.6949
H 0.8914 0.5788 0.5974

Values from the calculation:
Energy relative to the lowest polymorph listed for this composition in meV/atom: 167
DOS at the Fermi energy in states/eV/f.u.: 0.62
VASP energy in Ha/atom: -0.096

This record from Alexandria via LeMat-Bulk describes a relaxed structure of Cd2SbH. The functional is PBE.

a b c (Å): 5.2828 5.2828 7.4587
angles (deg): 69.26 69.26 90.00
Element x y z (fractional)
H 0.5000 0.5000 0.0000
Cd 0.2399 0.6250 0.2500
Sb 0.7500 0.2500 0.5000
Cd 0.8750 0.7601 0.7500
Sb 0.0000 0.0000 0.0000
Cd 0.3750 0.4899 0.7500
Cd 0.5101 0.1250 0.2500
H 0.2500 0.7500 0.5000

Values from the calculation:
Energy relative to the lowest polymorph listed for this composition in meV/atom: 97
DOS at the Fermi energy in states/eV/f.u.: 0.64
VASP energy in Ha/atom: -0.078

This record from Alexandria via LeMat-Bulk describes a relaxed structure of CdSbH3. The functional is PBE.

a b c (Å): 4.0093 4.0093 4.0093
angles (deg): 90.00 90.00 90.00
Element x y z (fractional)
Cd 0.0000 0.0000 0.0000
H 0.0000 0.5000 0.0000
H 0.0000 0.0000 0.5000
Sb 0.5000 0.5000 0.5000
H 0.5000 0.0000 0.0000

Values from the calculation:
Energy relative to the lowest polymorph listed for this composition in meV/atom: 241
DOS at the Fermi energy in states/eV/f.u.: 2.63
VASP energy in Ha/atom: -0.083

This record from Alexandria via LeMat-Bulk describes a relaxed structure of Cd2Sb2H. The functional is PBE.

a b c (Å): 6.0924 6.0924 5.9882
angles (deg): 90.00 90.00 90.00
Element x y z (fractional)
Cd 0.1829 0.3171 0.0000
Sb 0.7288 0.2288 0.5000
Cd 0.8171 0.6829 0.0000
H 0.5000 0.5000 0.0000
Cd 0.3171 0.8171 0.0000
Sb 0.2712 0.7712 0.5000
Cd 0.6829 0.1829 0.0000
Sb 0.2288 0.2712 0.5000
H 0.0000 0.0000 0.0000
Sb 0.7712 0.7288 0.5000

Values from the calculation:
DOS at the Fermi energy in states/eV/f.u.: 1.75
VASP energy in Ha/atom: -0.092

This record from Alexandria via LeMat-Bulk describes a relaxed structure of Cd2SbH. The functional is PBE.

a b c (Å): 4.5318 4.5318 6.9036
angles (deg): 70.84 70.84 60.00
Element x y z (fractional)
Cd 0.9030 0.9030 0.2909
H 0.0000 0.0000 0.0000
Sb 0.5000 0.5000 0.5000
Cd 0.0970 0.0970 0.7091

Values from the calculation:
Energy relative to the lowest polymorph listed for this composition in meV/atom: 0
DOS at the Fermi energy in states/eV/f.u.: 0.83
VASP energy in Ha/atom: -0.081

This record from Alexandria via LeMat-Bulk describes a relaxed structure of Cd3Sb2H2. The functional is PBE.

a b c (Å): 3.2108 9.1491 12.1561
angles (deg): 26.20 74.85 69.70
Element x y z (fractional)
Cd 0.6512 0.5291 0.8252
H 0.0309 0.7103 0.7658
Sb 0.1857 0.2208 0.5928
Cd 0.3488 0.4709 0.1748
Sb 0.8143 0.7792 0.4072
H 0.9691 0.2897 0.2342
Cd 0.0000 0.0000 0.0000

Values from the calculation:
DOS at the Fermi energy in states/eV/f.u.: 1.82
VASP energy in Ha/atom: -0.086

This record from Alexandria via LeMat-Bulk describes a relaxed structure of CdSnSb2H. The functional is PBE.

a b c (Å): 5.5501 5.7045 5.5501
angles (deg): 90.00 90.00 90.00
Element x y z (fractional)
Sb 0.0000 0.0000 0.5000
Cd 0.0000 0.0000 0.0000
Sb 0.5000 0.0000 0.0000
H 0.5000 0.5000 0.5000
Sn 0.0000 0.5000 0.0000

Values from the calculation:
DOS at the Fermi energy in states/eV/f.u.: 2.99
VASP energy in Ha/atom: -0.082